Entry 1:
A geometry-optimized KLi2In structure. Source: Alexandria via LeMat-Bulk, functional PBE-GGA.

Computed properties:
DFT formation energy = -9.5 kJ/mol of formula units

Structure (CIF):
```
data_KLi2In
_cell_length_a 10.077
_cell_length_b 3.619
_cell_length_c 7.521
_cell_angle_alpha 90.00
_cell_angle_beta 118.13
_cell_angle_gamma 90.00
_symmetry_space_group_name_H-M 'C 1 m 1'
_symmetry_Int_Tables_number 8
loop_
_symmetry_equiv_pos_as_xyz
'x,y,z'
'x,-y,z'
'x+1/2,y+1/2,z'
'x+1/2,-y+1/2,z'
loop_
_atom_site_label
_atom_site_type_symbol
_atom_site_fract_x
_atom_site_fract_y
_atom_site_fract_z
K1 K 0.000 0.000 0.000
Li1 Li 0.106 0.000 0.618
Li2 Li 0.413 0.000 0.355
In1 In 0.252 0.500 0.471
```

=====

Entry 2:
A geometry-optimized NaTbGaSn structure. Source: Alexandria via LeMat-Bulk, functional PBE-GGA.

Computed properties:
DFT formation energy = -120.9 kJ/mol of formula units

Structure (CIF):
```
data_NaTbGaSn
_cell_length_a 7.344
_cell_length_b 7.344
_cell_length_c 7.344
_cell_angle_alpha 90.00
_cell_angle_beta 90.00
_cell_angle_gamma 90.00
_symmetry_space_group_name_H-M 'F -4 3 m'
_symmetry_Int_Tables_number 216
_symmetry_space_group_name_Hall 'F -4 2 3'
loop_
_atom_site_label
_atom_site_type_symbol
_atom_site_fract_x
_atom_site_fract_y
_atom_site_fract_z
Na1 Na 0.000 0.000 0.000
Tb1 Tb 0.000 0.000 0.500
Ga1 Ga 0.250 0.250 0.250
Sn1 Sn 0.250 0.250 0.750
```

=====

Entry 3:
A geometry-optimized Li2TlTc structure. Source: Alexandria via LeMat-Bulk, functional PBE-GGA.

Computed properties:
Energy relative to the lowest polymorph listed for this composition = 86 meV per atom
DFT formation energy = 141.6 kJ/mol of formula units

Structure (CIF):
```
data_Li2TlTc
_cell_length_a 3.010
_cell_length_b 3.010
_cell_length_c 7.331
_cell_angle_alpha 90.00
_cell_angle_beta 90.00
_cell_angle_gamma 90.00
_symmetry_space_group_name_H-M 'P 4 m m'
_symmetry_Int_Tables_number 99
loop_
_symmetry_equiv_pos_as_xyz
'x,y,z'
'-y,x,z'
'-x,-y,z'
'y,-x,z'
'-x,y,z'
'y,x,z'
'x,-y,z'
'-y,-x,z'
loop_
_atom_site_label
_atom_site_type_symbol
_atom_site_fract_x
_atom_site_fract_y
_atom_site_fract_z
Li1 Li 0.000 0.000 0.000
Li2 Li 0.500 0.500 0.225
Tl1 Tl 0.500 0.500 0.735
Tc1 Tc 0.000 0.000 0.451
```